No. 1
Computed, not measured: La12Sm7Zr after structural relaxation at the PBE level of DFT.

Computed properties:
Its formation energy is 164 meV per atom. The space group is R-3m, No. 166.

Geometry as extended XYZ:
```
20
Lattice="9.7805 5.6468 2.1383 -9.7805 5.6468 2.1383 0.0000 -11.2935 2.1383" Properties=species:S:1:pos:R:3 pbc="T T T"
La -3.9755 -4.4078 2.1383
La -5.8050 -1.2389 2.1383
La 0.0000 -4.0101 1.1419
La -3.4728 2.0050 1.1419
La -5.8050 1.2389 4.2765
La -1.8296 5.6468 2.1383
La 3.4728 2.0050 1.1419
La -3.4728 -2.0050 5.2729
La -3.9754 4.4078 4.2765
La 1.8296 5.6468 2.1383
La 3.4728 -2.0050 5.2729
La 0.0000 4.0101 5.2729
Sm 0.0000 0.0000 0.0000
Sm -2.4218 -1.3982 1.9907
Sm 2.4218 -1.3982 1.9907
Sm 0.0000 2.7965 1.9907
Sm 0.0000 -2.7964 4.4241
Sm -2.4218 1.3982 4.4241
Sm 2.4218 1.3982 4.4241
Zr 0.0000 0.0000 3.2074
```

No. 2
Computed, not measured: Pr12NiSn6 after structural relaxation at the PBE level of DFT.

Computed properties:
Its formation energy is -461 meV per atom. The space group is R-3, No. 148.

Geometry as extended XYZ:
```
19
Lattice="6.2136 3.5874 4.8150 -6.2136 3.5874 4.8150 0.0000 -7.1748 4.8150" Properties=species:S:1:pos:R:3 pbc="T T T"
Pr -4.0186 -3.9505 7.9537
Pr -5.4306 1.5050 6.4912
Pr -2.2081 -0.3520 5.6292
Pr 1.4119 -5.4555 6.4912
Pr 1.4089 -1.7363 5.6291
Pr -0.7992 -2.0882 8.8158
Pr 0.7992 2.0882 5.6291
Pr -1.4088 1.7363 8.8158
Pr -1.4119 5.4555 7.9537
Pr 2.2081 0.3520 8.8158
Pr 5.4306 -1.5050 7.9537
Pr 4.0186 3.9505 6.4912
Ni 0.0000 0.0000 0.0000
Sn -1.3710 -3.5530 5.9645
Sn -3.7625 -0.5892 8.4805
Sn -2.3915 2.9638 5.9645
Sn 2.3915 -2.9638 8.4805
Sn 3.7625 0.5892 5.9645
Sn 1.3710 3.5530 8.4805
```

No. 3
Computed, not measured: CuBIr after structural relaxation at the PBE level of DFT.

Computed properties:
Its formation energy is -182 meV per atom. The space group is Fdd2, No. 43.

Geometry as extended XYZ:
```
12
Lattice="0.0000 5.0035 3.2791 4.3725 0.0000 3.2791 4.3725 5.0035 0.0000" Properties=species:S:1:pos:R:3 pbc="T T T"
Cu 5.1244 3.8518 3.2791
Cu 3.6207 6.1552 3.2791
Cu 5.8070 6.3536 4.9186
Cu 7.3107 8.6570 4.9186
B 3.8540 2.3213 2.0558
B 7.0774 4.8230 3.6953
B 0.5186 2.6823 2.0558
B 1.6677 5.1840 3.6953
Ir 2.0473 1.1346 2.2126
Ir 4.2336 1.3671 3.8521
Ir 2.3253 3.8689 2.2126
Ir 4.5115 8.6399 3.8521
```

No. 4
Computed, not measured: Rb5PaSe6 after structural relaxation at the PBE level of DFT.

Computed properties:
As for the formation energy from raw total energies: -1.13 eV per atom. The space group is C2/m, No. 12.

Geometry as extended XYZ:
```
12
Lattice="4.2258 -7.2297 0.0000 4.2258 7.2297 0.0000 -2.9070 0.0000 7.7456" Properties=species:S:1:pos:R:3 pbc="T T T"
Rb 0.0000 0.0000 0.0000
Rb 2.7723 4.8353 3.8728
Rb 4.2258 2.5482 0.0000
Rb 4.2258 -2.5482 0.0000
Rb 2.7723 -4.8353 3.8728
Pa 2.7723 0.0000 3.8728
Se 1.6448 1.9759 2.2428
Se 0.5103 0.0000 5.4847
Se 1.6448 -1.9759 2.2428
Se 3.8998 1.9759 5.5028
Se 5.0343 0.0000 2.2609
Se 3.8998 -1.9759 5.5028
```

no.,total magnetic moment (Bohr magnetons per cell)
1,0.0
2,0.0
3,0.0
4,2.2